[1]
Computed, not measured: a geometry-optimized HoTiN structure at the PBE-GGA level of DFT.

```
3
Lattice="-1.582 1.582 5.908 1.582 -1.582 5.908 1.582 1.582 -5.908" Properties=species:S:1:pos:R:3 pbc="T T T"
Ho 0.000 0.000 0.000
Ti 0.000 0.000 8.414
N 0.000 0.000 6.557
```

Output
uncorrected energy: -22.68 eV/cell
uncorrected formation energy: -0.63 eV/atom
symmetry: No. 107
crystal system: tetragonal
relative energy among the computed polymorphs: 573.3 meV per atom
DOS at the Fermi energy: 2.69 states/eV per cell



[2]
Computed, not measured: a geometry-optimized Ho2TiN structure at the PBE-GGA level of DFT.

```
4
Lattice="1.671 0.965 8.675 -1.671 0.965 8.675 0.000 -1.929 8.675" Properties=species:S:1:pos:R:3 pbc="T T T"
Ho 0.000 0.000 2.981
Ho 0.000 0.000 23.045
Ti 0.000 0.000 0.000
N 0.000 0.000 13.013
```

Output
uncorrected energy: -27.20 eV/cell
uncorrected formation energy: -0.46 eV/atom
symmetry: No. 166
crystal system: trigonal
DOS at the Fermi energy: 4.41 states/eV per cell